Entry 1:
{
  "formula": "PrScSb",
  "functional": "GGA-PBE",
  "state": "relaxed",
  "final_energy_ev_per_atom": -4.932,
  "lattice": [[0.000, 3.669, 3.669], [3.669, 0.000, 3.669], [3.669, 3.669, 0.000]],
  "species": ["Pr", "Sc", "Sb"],
  "fractional_positions": [[0.000, 0.000, 0.000], [0.250, 0.250, 0.250], [0.750, 0.750, 0.750]]
}



Entry 2:
{
  "formula": "PrScSb",
  "functional": "GGA-PBE",
  "state": "relaxed",
  "final_energy_ev_per_atom": -5.952,
  "lattice": [[4.448, 0.000, 0.000], [0.000, 4.448, 0.000], [0.000, 0.000, 8.379]],
  "species": ["Pr", "Pr", "Sc", "Sc", "Sb", "Sb"],
  "fractional_positions": [[0.250, 0.250, 0.150], [0.750, 0.750, 0.850], [0.250, 0.750, 0.500], [0.750, 0.250, 0.500], [0.250, 0.250, 0.751], [0.750, 0.750, 0.249]]
}



Entry 3:
{
  "formula": "PrScSb",
  "functional": "GGA-PBE",
  "state": "relaxed",
  "final_energy_ev_per_atom": -5.600,
  "lattice": [[0.000, 3.570, 3.570], [3.570, 0.000, 3.570], [3.570, 3.570, 0.000]],
  "species": ["Pr", "Sc", "Sb"],
  "fractional_positions": [[0.000, 0.000, 0.000], [0.500, 0.500, 0.500], [0.250, 0.250, 0.250]]
}



Entry 4:
{
  "formula": "PrSmSc2Sb2",
  "functional": "GGA-PBE",
  "state": "relaxed",
  "final_energy_ev_per_atom": -5.928,
  "lattice": [[-2.223, 2.223, 8.268], [2.223, -2.223, 8.268], [2.223, 2.223, -8.268]],
  "species": ["Pr", "Sm", "Sc", "Sc", "Sb", "Sb"],
  "fractional_positions": [[0.000, 0.000, 0.000], [0.351, 0.351, 0.000], [0.177, 0.677, 0.500], [0.677, 0.177, 0.500], [0.549, 0.549, 0.000], [0.803, 0.803, 0.000]]
}



Entry 5:
{
  "formula": "PrZrSc2Sb2",
  "functional": "GGA-PBE",
  "state": "relaxed",
  "final_energy_ev_per_atom": -6.408,
  "lattice": [[-2.154, 2.154, 8.169], [2.154, -2.154, 8.169], [2.154, 2.154, -8.169]],
  "species": ["Pr", "Zr", "Sc", "Sc", "Sb", "Sb"],
  "fractional_positions": [[0.000, 0.000, 0.000], [0.350, 0.350, 0.000], [0.186, 0.686, 0.500], [0.686, 0.186, 0.500], [0.551, 0.551, 0.000], [0.811, 0.811, 0.000]]
}



Entry 6:
{
  "formula": "Pr2SbSe",
  "functional": "GGA-PBE",
  "state": "relaxed",
  "final_energy_ev_per_atom": -5.806,
  "lattice": [[4.422, 0.000, 0.000], [0.000, 4.422, 0.000], [0.000, 0.000, 6.252]],
  "species": ["Pr", "Pr", "Sb", "Se"],
  "fractional_positions": [[0.000, 0.000, 0.000], [0.500, 0.500, 0.500], [0.000, 0.000, 0.500], [0.500, 0.500, 0.000]]
}



Entry 7:
{
  "formula": "Pr3Sb2Se",
  "functional": "GGA-PBE",
  "state": "relaxed",
  "polymorph_energy_mev_per_atom": 0.0,
  "final_energy_ev_per_atom": -5.768,
  "lattice": [[-2.235, 3.162, 6.680], [2.235, -3.162, 6.680], [2.235, 3.162, -6.680]],
  "species": ["Pr", "Pr", "Pr", "Sb", "Sb", "Se"],
  "fractional_positions": [[0.000, 0.000, 0.000], [0.338, 0.338, 0.000], [0.662, 0.662, 0.000], [0.169, 0.669, 0.500], [0.831, 0.331, 0.500], [0.500, 0.000, 0.500]]
}



Entry 8:
{
  "formula": "Pr3Sb2Se",
  "functional": "GGA-PBE",
  "state": "relaxed",
  "polymorph_energy_mev_per_atom": 5.5,
  "final_energy_ev_per_atom": -5.763,
  "lattice": [[4.472, 0.000, 0.000], [-2.236, 3.873, 0.000], [0.000, 0.000, 10.900]],
  "species": ["Pr", "Pr", "Pr", "Sb", "Sb", "Se"],
  "fractional_positions": [[0.000, 0.000, 0.000], [0.333, 0.667, 0.343], [0.667, 0.333, 0.657], [0.333, 0.667, 0.827], [0.667, 0.333, 0.173], [0.000, 0.000, 0.500]]
}



Entry 9:
{
  "formula": "Pr2Sb2TeSe",
  "functional": "GGA-PBE",
  "state": "relaxed",
  "final_energy_ev_per_atom": -5.339,
  "lattice": [[4.308, 0.000, 0.000], [0.000, 4.308, 0.000], [0.000, 0.000, 9.509]],
  "species": ["Pr", "Pr", "Sb", "Sb", "Te", "Se"],
  "fractional_positions": [[0.000, 0.000, 0.000], [0.500, 0.500, 0.434], [0.000, 0.500, 0.719], [0.500, 0.000, 0.719], [0.500, 0.500, 0.097], [0.000, 0.000, 0.348]]
}



Entry 10:
{
  "formula": "PrSiSb",
  "functional": "GGA-PBE",
  "state": "relaxed",
  "polymorph_energy_mev_per_atom": 0.0,
  "final_energy_ev_per_atom": -4.967,
  "lattice": [[0.000, 3.499, 3.499], [3.499, 0.000, 3.499], [3.499, 3.499, 0.000]],
  "species": ["Pr", "Si", "Sb"],
  "fractional_positions": [[0.000, 0.000, 0.000], [0.250, 0.250, 0.250], [0.500, 0.500, 0.500]]
}



Entry 11:
{
  "formula": "PrSiSb",
  "functional": "GGA-PBE",
  "state": "relaxed",
  "polymorph_energy_mev_per_atom": 230.0,
  "final_energy_ev_per_atom": -4.737,
  "lattice": [[0.000, 3.603, 3.603], [3.603, 0.000, 3.603], [3.603, 3.603, 0.000]],
  "species": ["Pr", "Si", "Sb"],
  "fractional_positions": [[0.000, 0.000, 0.000], [0.250, 0.250, 0.250], [0.750, 0.750, 0.750]]
}



Entry 12:
{
  "formula": "PrSm2Sb3",
  "functional": "GGA-PBE",
  "state": "relaxed",
  "final_energy_ev_per_atom": -5.612,
  "lattice": [[4.492, 0.000, 0.000], [-2.246, 3.891, 0.000], [0.000, 0.000, 11.035]],
  "species": ["Pr", "Sm", "Sm", "Sb", "Sb", "Sb"],
  "fractional_positions": [[0.000, 0.000, 0.000], [0.333, 0.667, 0.336], [0.667, 0.333, 0.664], [0.000, 0.000, 0.500], [0.333, 0.667, 0.829], [0.667, 0.333, 0.171]]
}



Number 1: M_tot 1.8 Bohr magnetons per cell. Number 2: M_tot 0.2 Bohr magnetons per cell. Number 3: M_tot 0.5 Bohr magnetons per cell. Number 4: M_tot 0.9 Bohr magnetons per cell. Number 5: M_tot 0.5 Bohr magnetons per cell. Number 6: M_tot 0.0 Bohr magnetons per cell. Number 7: M_tot 0.0 Bohr magnetons per cell. Number 8: M_tot 0.0 Bohr magnetons per cell. Number 9: M_tot 0.0 Bohr magnetons per cell. Number 10: M_tot 0.0 Bohr magnetons per cell. Number 11: M_tot 0.0 Bohr magnetons per cell. Number 12: M_tot 0.0 Bohr magnetons per cell.